1.
A plane-wave DFT calculation with PBEsol was carried out for a relaxed GaReSeBr2 crystal.

a b c (Å): 5.219 5.219 4.669
angles (deg): 90.00 90.00 90.00
Space group P4/mmm (No. 123)
Unique sites:
Ga1 0.000 0.000 0.000 (multiplicity 1)
Re1 0.500 0.500 0.500 (multiplicity 1)
Se1 0.500 0.500 0.000 (multiplicity 1)
Br1 0.000 0.500 0.500 (multiplicity 2)

Values from the calculation:
E_tot: -22.774 eV per cell
theoretical density: 6.46 g cm⁻³
magnetic moment: 1.09 μB/cell

2.
A plane-wave DFT calculation with PBEsol was carried out for a relaxed Fe3Pb4ClO8 crystal.

a b c (Å): 3.879 3.879 14.877
angles (deg): 90.00 90.00 90.00
Space group P4/mmm (No. 123)
Unique sites:
Fe1 0.000 0.000 0.000 (multiplicity 1)
Fe2 0.000 0.000 0.254 (multiplicity 2)
Pb1 0.500 0.500 0.118 (multiplicity 2)
Pb2 0.500 0.500 0.377 (multiplicity 2)
Cl1 0.000 0.000 0.500 (multiplicity 1)
O1 0.000 0.000 0.128 (multiplicity 2)
O2 0.000 0.500 0.000 (multiplicity 2)
O3 0.000 0.500 0.282 (multiplicity 4)

Values from the calculation:
E_tot: -105.287 eV per cell
theoretical density: 8.60 g cm⁻³
magnetic moment: 11.17 μB/cell

3.
A plane-wave DFT calculation with PBEsol was carried out for a relaxed ZnTcRu crystal.

a b c (Å): 5.762 5.762 5.762
angles (deg): 90.00 90.00 90.00
Space group F-43m (No. 216)
Unique sites:
Zn1 0.000 0.000 0.000 (multiplicity 4)
Tc1 0.250 0.250 0.750 (multiplicity 4)
Ru1 0.000 0.000 0.500 (multiplicity 4)

Values from the calculation:
E_tot: -85.097 eV per cell
theoretical density: 9.18 g cm⁻³
formation energy: 0.58 eV/atom
magnetic moment: 0.00 μB/cell
relative energy among the computed polymorphs: 619 meV/atom

4.
A plane-wave DFT calculation with PBEsol was carried out for a relaxed BeAgAu2 crystal.

a b c (Å): 3.012 4.370 8.971
angles (deg): 90.00 90.00 90.00
Space group Imm2 (No. 44)
Unique sites:
Be1 0.000 0.000 0.000 (multiplicity 2)
Ag1 0.000 0.500 0.715 (multiplicity 2)
Au1 0.000 0.000 0.510 (multiplicity 2)
Au2 0.000 0.500 0.302 (multiplicity 2)

Values from the calculation:
E_tot: -30.807 eV per cell
theoretical density: 14.37 g cm⁻³
formation energy: -0.06 eV/atom
magnetic moment: 0.00 μB/cell

5.
A plane-wave DFT calculation with PBEsol was carried out for a relaxed Ho4Zr3O12 crystal.

a b c (Å): 6.308 6.377 12.642
angles (deg): 99.30 99.24 99.40
Space group P-1 (No. 2)
Unique sites:
Ho1 0.114 0.134 0.402 (multiplicity 2)
Ho2 0.190 0.390 0.682 (multiplicity 2)
Ho3 0.203 0.388 0.181 (multiplicity 2)
Ho4 0.358 0.694 0.947 (multiplicity 2)
Zr1 0.110 0.143 0.904 (multiplicity 2)
Zr2 0.353 0.675 0.446 (multiplicity 2)
Zr3 0.492 0.994 0.747 (multiplicity 2)
O1 0.064 0.831 0.962 (multiplicity 2)
O2 0.071 0.418 0.842 (multiplicity 2)
O3 0.087 0.819 0.462 (multiplicity 2)
O4 0.091 0.433 0.342 (multiplicity 2)
O5 0.178 0.059 0.718 (multiplicity 2)
O6 0.184 0.038 0.206 (multiplicity 2)
O7 0.315 0.406 0.028 (multiplicity 2)
O8 0.327 0.423 0.533 (multiplicity 2)
O9 0.425 0.074 0.907 (multiplicity 2)
O10 0.427 0.693 0.292 (multiplicity 2)
O11 0.428 0.682 0.779 (multiplicity 2)
O12 0.468 0.106 0.411 (multiplicity 2)

Values from the calculation:
E_tot: -357.304 eV per cell
theoretical density: 7.69 g cm⁻³
magnetic moment: 0.00 μB/cell

6.
A plane-wave DFT calculation with PBEsol was carried out for a relaxed Ca2InOsRh crystal.

a b c (Å): 5.180 5.180 5.039
angles (deg): 90.00 90.00 90.00
Space group P4/mmm (No. 123)
Unique sites:
Ca1 0.000 0.500 0.000 (multiplicity 2)
In1 0.000 0.000 0.500 (multiplicity 1)
Os1 0.000 0.000 0.000 (multiplicity 1)
Rh1 0.500 0.500 0.500 (multiplicity 1)

Values from the calculation:
E_tot: -23.239 eV per cell
theoretical density: 6.00 g cm⁻³
formation energy: 0.87 eV/atom
magnetic moment: 0.60 μB/cell

Q: Which value of theoretical density does entry 6 give?
A: 6.00 g cm⁻³